Entry 1:
A relaxed LiPm2TlAg4 crystal, computed with PBE.

Cell: 5.0869 5.0869 24.2934 Å, 90.00 90.00 120.00°
Space group R-3m (No. 166, hexagonal axes)
Inequivalent atoms, fractional coordinates:
Li1 0.0000 0.0000 0.0000 (multiplicity 3)
Pm1 0.0000 0.0000 0.2437 (multiplicity 6)
Tl1 0.0000 0.0000 0.5000 (multiplicity 3)
Ag1 0.0000 0.0000 0.1153 (multiplicity 6)
Ag2 0.0000 0.0000 0.3704 (multiplicity 6)

Energy, eV for the cell shown: -81.1
D(E_F), states/eV/cell: 13.909
Calculated volume, Å³ per atom: 22.68
Formation energy from the elements, eV per atom: -0.229
Magnetization, μB/f.u.: 0.0

Entry 2:
A relaxed Nd2ErGa4 crystal, computed with PBE.

Cell: 4.187 4.309 18.740 Å, 90.00 90.00 90.00°
Space group Immm (No. 71)
Inequivalent atoms, fractional coordinates:
Nd1 0.000 0.000 0.184 (multiplicity 4)
Er1 0.000 0.500 0.500 (multiplicity 2)
Ga1 0.000 0.000 0.360 (multiplicity 4)
Ga2 0.000 0.500 0.065 (multiplicity 4)

Energy, eV for the cell shown: -60.7
D(E_F), states/eV/cell: 11.831
Calculated volume, Å³ per atom: 24.15
Formation energy from the elements, eV per atom: -0.593
Magnetization, μB/f.u.: 0.6

Entry 3:
A relaxed ZrCoOs2 crystal, computed with PBE.

Cell: 2.791 4.454 4.994 Å, 90.00 98.83 90.00°
Space group P2/m (No. 10)
Inequivalent atoms, fractional coordinates:
Zr1 0.000 0.000 0.000 (multiplicity 1)
Co1 0.500 0.000 0.500 (multiplicity 1)
Os1 0.316 0.500 0.724 (multiplicity 2)

Energy, eV for the cell shown: -37.6
D(E_F), states/eV/cell: 4.935
Calculated volume, Å³ per atom: 15.34
Formation energy from the elements, eV per atom: 0.116
Magnetization, μB/f.u.: 1.5

Entry 4:
A relaxed Y2B2W crystal, computed with PBE.

Cell: 7.592 7.592 2.928 Å, 90.00 90.00 90.00°
Space group P4/mbm (No. 127)
Inequivalent atoms, fractional coordinates:
Y1 0.133 0.367 0.000 (multiplicity 4)
B1 0.170 0.670 0.500 (multiplicity 4)
W1 0.000 0.000 0.000 (multiplicity 2)

Energy, eV for the cell shown: -67.9
D(E_F), states/eV/cell: 10.920
Calculated volume, Å³ per atom: 16.87
Formation energy from the elements, eV per atom: 1.053
Magnetization, μB/f.u.: 0.0

Entry 5:
A relaxed ZrNbS3 crystal, computed with PBE.

Cell: 16.263 3.468 6.673 Å, 90.00 91.82 90.00°
Space group C2/m (No. 12)
Inequivalent atoms, fractional coordinates:
Zr1 0.083 0.000 0.096 (multiplicity 4)
Nb1 0.199 0.500 0.737 (multiplicity 4)
S1 0.043 0.500 0.806 (multiplicity 4)
S2 0.162 0.000 0.480 (multiplicity 4)
S3 0.198 0.500 0.111 (multiplicity 4)

Energy, eV for the cell shown: -147.1
D(E_F), states/eV/cell: 6.358
Calculated volume, Å³ per atom: 18.81
Formation energy from raw total energies, eV per atom: -1.15
Magnetization, μB/f.u.: 0.0

Entry 6:
A relaxed CeSc2Ga6 crystal, computed with PBE.

Cell: 4.223 6.997 12.605 Å, 90.00 90.00 90.00°
Space group Immm (No. 71)
Inequivalent atoms, fractional coordinates:
Ce1 0.000 0.000 0.000 (multiplicity 2)
Sc1 0.000 0.500 0.121 (multiplicity 4)
Ga1 0.000 0.179 0.500 (multiplicity 4)
Ga2 0.000 0.302 0.310 (multiplicity 8)

Energy, eV for the cell shown: -82.0
D(E_F), states/eV/cell: 20.266
Calculated volume, Å³ per atom: 20.69
Formation energy from the elements, eV per atom: -0.474
Magnetization, μB/f.u.: 1.2

Entry 7:
A relaxed TcSbOs crystal, computed with PBE.

Cell: 2.987 4.032 8.231 Å, 90.00 90.00 90.00°
Space group Imm2 (No. 44)
Inequivalent atoms, fractional coordinates:
Tc1 0.000 0.000 0.000 (multiplicity 2)
Sb1 0.000 0.000 0.676 (multiplicity 2)
Os1 0.000 0.000 0.352 (multiplicity 2)

Energy, eV for the cell shown: -48.5
D(E_F), states/eV/cell: 4.481
Calculated volume, Å³ per atom: 16.52
Formation energy from raw total energies, eV per atom: 0.48
Magnetization, μB/f.u.: 0.0

Entry 8:
A relaxed BeAgSb2 crystal, computed with PBE.

Cell: 6.471 3.731 7.269 Å, 90.00 107.13 90.00°
Space group C2/m (No. 12)
Inequivalent atoms, fractional coordinates:
Be1 0.000 0.000 0.000 (multiplicity 2)
Ag1 0.000 0.500 0.500 (multiplicity 2)
Sb1 0.235 0.500 0.206 (multiplicity 4)

Energy, eV for the cell shown: -27.7
D(E_F), states/eV/cell: 2.056
Calculated volume, Å³ per atom: 20.97
Formation energy from raw total energies, eV per atom: 0.24
Magnetization, μB/f.u.: 0.0

Entry 9:
A relaxed Hf3ScGe crystal, computed with PBE.

Cell: 4.975 4.975 4.975 Å, 90.00 90.00 90.00°
Space group Pm-3m (No. 221)
Inequivalent atoms, fractional coordinates:
Hf1 0.000 0.000 0.500 (multiplicity 3)
Sc1 0.000 0.000 0.000 (multiplicity 1)
Ge1 0.500 0.500 0.500 (multiplicity 1)

Energy, eV for the cell shown: -34.2
D(E_F), states/eV/cell: 8.645
Calculated volume, Å³ per atom: 24.62
Formation energy from the elements, eV per atom: 1.319
Magnetization, μB/f.u.: 0.0

Entry 10:
A relaxed AcLuMg crystal, computed with PBE.

Cell: 3.885 3.885 12.965 Å, 90.00 90.00 90.00°
Space group I4mm (No. 107)
Inequivalent atoms, fractional coordinates:
Ac1 0.000 0.000 0.000 (multiplicity 2)
Lu1 0.000 0.000 0.310 (multiplicity 2)
Mg1 0.000 0.000 0.678 (multiplicity 2)

Energy, eV for the cell shown: -20.4
D(E_F), states/eV/cell: 8.449
Calculated volume, Å³ per atom: 32.62
Formation energy from the elements, eV per atom: 0.010
Magnetization, μB/f.u.: 0.0

Entry 11:
A relaxed Tb6SnAs3Se2 crystal, computed with PBE.

Cell: 18.225 4.141 8.421 Å, 90.00 103.40 90.00°
Space group C2/m (No. 12)
Inequivalent atoms, fractional coordinates:
Tb1 0.001 0.000 0.238 (multiplicity 4)
Tb2 0.164 0.500 0.091 (multiplicity 4)
Tb3 0.171 0.500 0.579 (multiplicity 4)
Sn1 0.000 0.500 0.500 (multiplicity 2)
As1 0.000 0.500 0.000 (multiplicity 2)
As2 0.167 0.000 0.332 (multiplicity 4)
Se1 0.169 0.000 0.838 (multiplicity 4)

Energy, eV for the cell shown: -141.7
D(E_F), states/eV/cell: 5.121
Calculated volume, Å³ per atom: 25.76
Formation energy from raw total energies, eV per atom: -1.51
Magnetization, μB/f.u.: 0.0

Entry 12:
A relaxed ZnGaSe2Br crystal, computed with PBE.

Cell: 5.047 5.047 5.103 Å, 90.00 90.00 90.00°
Space group P4/mmm (No. 123)
Inequivalent atoms, fractional coordinates:
Zn1 0.000 0.000 0.000 (multiplicity 1)
Ga1 0.500 0.500 0.500 (multiplicity 1)
Se1 0.000 0.500 0.500 (multiplicity 2)
Br1 0.500 0.500 0.000 (multiplicity 1)

Energy, eV for the cell shown: -12.0
D(E_F), states/eV/cell: 5.311
Calculated volume, Å³ per atom: 26.00
Formation energy from raw total energies, eV per atom: 0.19
Magnetization, μB/f.u.: 0.0

Entry 13:
A relaxed AlRe2I crystal, computed with PBE.

Cell: 6.370 6.370 6.370 Å, 90.00 90.00 90.00°
Space group Fm-3m (No. 225)
Inequivalent atoms, fractional coordinates:
Al1 0.000 0.000 0.000 (multiplicity 4)
Re1 0.250 0.250 0.250 (multiplicity 8)
I1 0.000 0.000 0.500 (multiplicity 4)

Energy, eV for the cell shown: -106.1
D(E_F), states/eV/cell: 9.914
Calculated volume, Å³ per atom: 16.16
Formation energy from raw total energies, eV per atom: 0.92
Magnetization, μB/f.u.: 0.0

Entry 14:
A relaxed Mg6HgPt2 crystal, computed with PBE.

Cell: 8.464 8.469 10.216 Å, 90.00 90.00 90.00°
Space group Immm (No. 71)
Inequivalent atoms, fractional coordinates:
Mg1 0.000 0.206 0.245 (multiplicity 8)
Mg2 0.195 0.500 0.159 (multiplicity 8)
Mg3 0.203 0.312 0.500 (multiplicity 8)
Hg1 0.000 0.000 0.000 (multiplicity 2)
Hg2 0.000 0.000 0.500 (multiplicity 2)
Pt1 0.000 0.328 0.000 (multiplicity 4)
Pt2 0.000 0.500 0.361 (multiplicity 4)

Energy, eV for the cell shown: -106.0
D(E_F), states/eV/cell: 14.377
Calculated volume, Å³ per atom: 20.34
Formation energy from the elements, eV per atom: -0.507
Magnetization, μB/f.u.: 0.0

Entry 15:
A relaxed BaSr2Pd2 crystal, computed with PBE.

Cell: 8.362 8.362 4.575 Å, 90.00 90.00 90.00°
Space group P4/mbm (No. 127)
Inequivalent atoms, fractional coordinates:
Ba1 0.000 0.000 0.000 (multiplicity 2)
Sr1 0.158 0.342 0.500 (multiplicity 4)
Pd1 0.120 0.620 0.000 (multiplicity 4)

Energy, eV for the cell shown: -36.0
D(E_F), states/eV/cell: 2.213
Calculated volume, Å³ per atom: 31.99
Formation energy from the elements, eV per atom: -0.469
Magnetization, μB/f.u.: 0.0

Entry 16:
A relaxed Li5La3Sm12 crystal, computed with PBE.

Cell: 18.005 18.005 18.005 Å, 90.00 90.00 90.00°
Space group Ia-3d (No. 230)
Inequivalent atoms, fractional coordinates:
Li1 0.000 0.000 0.000 (multiplicity 16)
Li2 0.000 0.250 0.375 (multiplicity 24)
La1 0.000 0.250 0.125 (multiplicity 24)
Sm1 0.024 0.072 0.643 (multiplicity 96)

Energy, eV for the cell shown: -527.2
D(E_F), states/eV/cell: 331.749
Calculated volume, Å³ per atom: 36.48
Formation energy from the elements, eV per atom: 0.754
Magnetization, μB/f.u.: 0.4

Entry 17:
A relaxed NbV5Mo crystal, computed with PBE.

Cell: 6.652 7.797 8.287 Å, 90.00 105.43 90.00°
Space group C2/c (No. 15)
Inequivalent atoms, fractional coordinates:
Nb1 0.000 0.247 0.250 (multiplicity 4)
V1 0.000 0.397 0.750 (multiplicity 4)
V2 0.099 0.087 0.639 (multiplicity 8)
V3 0.184 0.430 0.552 (multiplicity 8)
Mo1 0.250 0.250 0.000 (multiplicity 4)

Energy, eV for the cell shown: -262.3
D(E_F), states/eV/cell: 32.343
Calculated volume, Å³ per atom: 14.79
Formation energy from the elements, eV per atom: 0.131
Magnetization, μB/f.u.: 0.0

Entry 18:
A relaxed Sm2DyCd crystal, computed with PBE.

Cell: 3.647 3.647 9.116 Å, 90.00 90.00 90.00°
Space group P4/mmm (No. 123)
Inequivalent atoms, fractional coordinates:
Sm1 0.000 0.000 0.228 (multiplicity 2)
Dy1 0.500 0.500 0.500 (multiplicity 1)
Cd1 0.500 0.500 0.000 (multiplicity 1)

Energy, eV for the cell shown: -15.5
D(E_F), states/eV/cell: 4.762
Calculated volume, Å³ per atom: 30.31
Formation energy from the elements, eV per atom: -0.140
Magnetization, μB/f.u.: 0.0

Entry 19:
A relaxed BaTa2Mn crystal, computed with PBE.

Cell: 3.281 3.281 8.538 Å, 90.00 90.00 90.00°
Space group P4mm (No. 99)
Inequivalent atoms, fractional coordinates:
Ba1 0.000 0.000 0.000 (multiplicity 1)
Ta1 0.000 0.000 0.463 (multiplicity 1)
Ta2 0.500 0.500 0.657 (multiplicity 1)
Mn1 0.500 0.500 0.315 (multiplicity 1)

Energy, eV for the cell shown: -32.5
D(E_F), states/eV/cell: 4.205
Calculated volume, Å³ per atom: 22.98
Formation energy from the elements, eV per atom: 0.575
Magnetization, μB/f.u.: 1.8

Entry 20:
A relaxed Ba2TmHfSe6 crystal, computed with PBE.

Cell: 7.550 10.676 7.551 Å, 90.00 90.00 90.00°
Space group Pmmn (No. 59, origin choice 2)
Inequivalent atoms, fractional coordinates:
Ba1 0.250 0.000 0.249 (multiplicity 4)
Tm1 0.250 0.250 0.750 (multiplicity 2)
Hf1 0.250 0.750 0.749 (multiplicity 2)
Se1 0.005 0.750 0.505 (multiplicity 4)
Se2 0.005 0.750 0.995 (multiplicity 4)
Se3 0.250 0.505 0.750 (multiplicity 4)

Energy, eV for the cell shown: -110.5
D(E_F), states/eV/cell: 10.737
Calculated volume, Å³ per atom: 30.43
Formation energy from raw total energies, eV per atom: -1.61
Magnetization, μB/f.u.: 0.0